# 1
# Pb5Au

Pb5Au at its PBEsol-relaxed geometry (SCAN, the Alexandria database).

The value obtained for the formation energy from the elements is 0.077 eV per atom. As for the distance to the lowest polymorph of the same formula: 87 meV/atom. The calculation puts the total energy at -74.601 eV/atom. The density of states at the Fermi level comes out at 0.4470 states/eV per atom.

Lattice parameters (Å, degrees): 5.4231 5.9029 5.9029 120.00 90.00 90.00
Closest atoms and distances in Å follow each position.
Element x y z (fractional)
Pb (0.5000, 0.6667, 0.3333)  9 Pb 3.37-3.41, 3 Au 3.41
Pb (0.0000, 0.6795, 0.0000)  10 Pb 3.28-3.48, 2 Au 3.31
Pb (0.0000, 0.0000, 0.6795)  10 Pb 3.28-3.48, 2 Au 3.31
Pb (0.5000, 0.3333, 0.6667)  9 Pb 3.37-3.41, 3 Au 3.41
Pb (0.0000, 0.3205, 0.3205)  10 Pb 3.28-3.48, 2 Au 3.31
Au (0.5000, 0.0000, 0.0000)  12 Pb 3.31-3.41


# 2
# PbAu5

PbAu5 at its PBEsol-relaxed geometry (SCAN, the Alexandria database).

The value obtained for the formation energy from the elements is 0.078 eV per atom. The calculation puts the total energy at -70.183 eV/atom. The density of states at the Fermi level comes out at 0.3217 states/eV per atom.

Lattice parameters (Å, degrees): 4.1312 4.3237 6.5956 70.87 90.00 90.00
Closest atoms and distances in Å follow each position.
Element x y z (fractional)
Au (0.5000, 0.6754, 0.6492)  10 Au 2.83-3.07, 2 Pb 3.01
Au (0.0000, 0.8310, 0.3381)  10 Au 2.83-2.99, 2 Pb 3.02
Au (0.5000, 0.0000, 0.0000)  8 Au 2.95-3.07, 4 Pb 2.99
Au (0.5000, 0.3246, 0.3508)  10 Au 2.83-3.07, 2 Pb 3.01
Au (0.0000, 0.1690, 0.6619)  10 Au 2.83-2.99, 2 Pb 3.02
Pb (0.0000, 0.5000, 0.0000)  12 Au 2.99-3.02


# 3
# Pb3Au

Pb3Au at its PBEsol-relaxed geometry (SCAN, the Alexandria database).

The value obtained for the formation energy from the elements is 0.004 eV per atom. The calculation puts the total energy at -74.121 eV/atom. The density of states at the Fermi level comes out at 0.3438 states/eV per atom.

Lattice parameters (Å, degrees): 3.5265 3.5265 9.9750 90.00 90.00 120.00
Closest atoms and distances in Å follow each position.
Element x y z (fractional)
Pb (0.0000, 0.0000, 0.5000)  12 Pb 3.51-3.53
Pb (0.3333, 0.6667, 0.7866)  3 Au 2.95
Pb (0.3333, 0.6667, 0.2134)  3 Au 2.95
Au (0.0000, 0.0000, 0.0000)  6 Pb 2.95


Question: Which of these has the highest formation energy from the elements?
Answer: PbAu5


Question: Which value of formation energy from the elements does entry 2 give?
Answer: 0.078 eV per atom